VASP calculation (PBE-GGA) on a relaxed structure of ReTc2Br.

Summary:
DOS(E_F) in states/eV per cell: 3.3
Uncorrected formation energy in eV per atom: 0.780

Geometry as CIF:
```
data_ReTc2Br
_chemical_formula_sum 'Re1 Tc2 Br1'
_symmetry_space_group_name_H-M 'P m m 2'
_symmetry_Int_Tables_number 25
_symmetry_space_group_name_Hall 'P 2 -2'
_cell_length_a 2.939
_cell_length_b 3.747
_cell_length_c 7.219
_cell_angle_alpha 90.00
_cell_angle_beta 90.00
_cell_angle_gamma 90.00
loop_
_atom_site_label
_atom_site_type_symbol
_atom_site_fract_x
_atom_site_fract_y
_atom_site_fract_z
Re1 Re 0.000 0.000 0.000
Tc1 Tc 0.000 0.000 0.334
Tc2 Tc 0.500 0.500 0.135
Br1 Br 0.500 0.500 0.556
```


VASP calculation (PBE-GGA) on a relaxed structure of ReTc2Br.

Summary:
DOS(E_F) in states/eV per cell: 7.6
Uncorrected formation energy in eV per atom: 0.876

Geometry as CIF:
```
data_ReTc2Br
_chemical_formula_sum 'Re2 Tc4 Br2'
_symmetry_space_group_name_H-M 'C 1 2/m 1'
_symmetry_Int_Tables_number 12
_symmetry_space_group_name_Hall '-C 2y'
_cell_length_a 8.978
_cell_length_b 2.927
_cell_length_c 5.164
_cell_angle_alpha 90.00
_cell_angle_beta 103.80
_cell_angle_gamma 90.00
loop_
_atom_site_label
_atom_site_type_symbol
_atom_site_fract_x
_atom_site_fract_y
_atom_site_fract_z
Re1 Re 0.000 0.000 0.000
Tc1 Tc 0.241 0.500 0.207
Br1 Br 0.000 0.500 0.500
```


VASP calculation (PBE-GGA) on a relaxed structure of ReTc2Br.

Summary:
DOS(E_F) in states/eV per cell: 12.5
Uncorrected formation energy in eV per atom: 0.781

Geometry as CIF:
```
data_ReTc2Br
_chemical_formula_sum 'Re2 Tc4 Br2'
_symmetry_space_group_name_H-M 'C m m m'
_symmetry_Int_Tables_number 65
_symmetry_space_group_name_Hall '-C 2 2'
_cell_length_a 2.932
_cell_length_b 4.809
_cell_length_c 9.304
_cell_angle_alpha 90.00
_cell_angle_beta 90.00
_cell_angle_gamma 90.00
loop_
_atom_site_label
_atom_site_type_symbol
_atom_site_fract_x
_atom_site_fract_y
_atom_site_fract_z
Re1 Re 0.000 0.000 0.000
Tc1 Tc 0.000 0.500 0.233
Br1 Br 0.000 0.000 0.500
```


VASP calculation (PBE-GGA) on a relaxed structure of ReTc2Br.

Summary:
DOS(E_F) in states/eV per cell: 18.2
Uncorrected formation energy in eV per atom: 1.083

Geometry as CIF:
```
data_ReTc2Br
_chemical_formula_sum 'Re4 Tc8 Br4'
_symmetry_space_group_name_H-M 'F -4 3 m'
_symmetry_Int_Tables_number 216
_symmetry_space_group_name_Hall 'F -4 2 3'
_cell_length_a 6.284
_cell_length_b 6.284
_cell_length_c 6.284
_cell_angle_alpha 90.00
_cell_angle_beta 90.00
_cell_angle_gamma 90.00
loop_
_atom_site_label
_atom_site_type_symbol
_atom_site_fract_x
_atom_site_fract_y
_atom_site_fract_z
Re1 Re 0.000 0.000 0.000
Tc1 Tc 0.000 0.000 0.500
Tc2 Tc 0.250 0.250 0.250
Br1 Br 0.250 0.250 0.750
```


VASP calculation (PBE-GGA) on a relaxed structure of ReTc2Br.

Summary:
DOS(E_F) in states/eV per cell: 6.3
Uncorrected formation energy in eV per atom: 0.743

Geometry as CIF:
```
data_ReTc2Br
_chemical_formula_sum 'Re2 Tc4 Br2'
_symmetry_space_group_name_H-M 'C 1 m 1'
_symmetry_Int_Tables_number 8
_symmetry_space_group_name_Hall 'C -2y'
_cell_length_a 9.937
_cell_length_b 2.957
_cell_length_c 4.408
_cell_angle_alpha 90.00
_cell_angle_beta 92.73
_cell_angle_gamma 90.00
loop_
_atom_site_label
_atom_site_type_symbol
_atom_site_fract_x
_atom_site_fract_y
_atom_site_fract_z
Re1 Re 0.000 0.000 0.000
Tc1 Tc 0.067 0.500 0.565
Tc2 Tc 0.290 0.000 0.772
Br1 Br 0.285 0.500 0.297
```


VASP calculation (PBE-GGA) on a relaxed structure of ReTcBr.

Summary:
DOS(E_F) in states/eV per cell: 5.3
Uncorrected formation energy in eV per atom: 1.124

Geometry as CIF:
```
data_ReTcBr
_chemical_formula_sum 'Re2 Tc2 Br2'
_symmetry_space_group_name_H-M 'I m m 2'
_symmetry_Int_Tables_number 44
_symmetry_space_group_name_Hall 'I 2 -2'
_cell_length_a 2.944
_cell_length_b 3.967
_cell_length_c 8.220
_cell_angle_alpha 90.00
_cell_angle_beta 90.00
_cell_angle_gamma 90.00
loop_
_atom_site_label
_atom_site_type_symbol
_atom_site_fract_x
_atom_site_fract_y
_atom_site_fract_z
Re1 Re 0.000 0.000 0.000
Tc1 Tc 0.000 0.000 0.650
Br1 Br 0.000 0.000 0.323
```


VASP calculation (PBE-GGA) on a relaxed structure of Re2TcBr2.

Summary:
DOS(E_F) in states/eV per cell: 8.5
Uncorrected formation energy in eV per atom: 1.089

Geometry as CIF:
```
data_Re2TcBr2
_chemical_formula_sum 'Re4 Tc2 Br4'
_symmetry_space_group_name_H-M 'P 4/m b m'
_symmetry_Int_Tables_number 127
_symmetry_space_group_name_Hall '-P 4 2ab'
_cell_length_a 6.477
_cell_length_b 6.477
_cell_length_c 4.977
_cell_angle_alpha 90.00
_cell_angle_beta 90.00
_cell_angle_gamma 90.00
loop_
_atom_site_label
_atom_site_type_symbol
_atom_site_fract_x
_atom_site_fract_y
_atom_site_fract_z
Re1 Re 0.131 0.369 0.000
Tc1 Tc 0.000 0.000 0.000
Br1 Br 0.193 0.307 0.500
```


VASP calculation (PBE-GGA) on a relaxed structure of ReTc2Br.

Summary:
DOS(E_F) in states/eV per cell: 3.7
Uncorrected formation energy in eV per atom: 0.994

Geometry as CIF:
```
data_ReTc2Br
_chemical_formula_sum 'Re1 Tc2 Br1'
_symmetry_space_group_name_H-M 'P m m m'
_symmetry_Int_Tables_number 47
_symmetry_space_group_name_Hall '-P 2 2'
_cell_length_a 2.957
_cell_length_b 4.534
_cell_length_c 4.605
_cell_angle_alpha 90.00
_cell_angle_beta 90.00
_cell_angle_gamma 90.00
loop_
_atom_site_label
_atom_site_type_symbol
_atom_site_fract_x
_atom_site_fract_y
_atom_site_fract_z
Re1 Re 0.000 0.000 0.000
Tc1 Tc 0.000 0.500 0.500
Tc2 Tc 0.500 0.500 0.000
Br1 Br 0.500 0.000 0.500
```


VASP calculation (PBE-GGA) on a relaxed structure of ReTc2Br.

Summary:
DOS(E_F) in states/eV per cell: 9.9
Uncorrected formation energy in eV per atom: 0.842

Geometry as CIF:
```
data_ReTc2Br
_chemical_formula_sum 'Re2 Tc4 Br2'
_symmetry_space_group_name_H-M 'C m m 2'
_symmetry_Int_Tables_number 35
_symmetry_space_group_name_Hall 'C 2 -2'
_cell_length_a 2.855
_cell_length_b 4.739
_cell_length_c 10.097
_cell_angle_alpha 90.00
_cell_angle_beta 90.00
_cell_angle_gamma 90.00
loop_
_atom_site_label
_atom_site_type_symbol
_atom_site_fract_x
_atom_site_fract_y
_atom_site_fract_z
Re1 Re 0.000 0.000 0.000
Tc1 Tc 0.000 0.000 0.438
Tc2 Tc 0.000 0.500 0.220
Br1 Br 0.000 0.500 0.685
```


VASP calculation (PBE-GGA) on a relaxed structure of ReTcBr.

Summary:
DOS(E_F) in states/eV per cell: 7.1
Uncorrected formation energy in eV per atom: 1.147

Geometry as CIF:
```
data_ReTcBr
_chemical_formula_sum 'Re4 Tc4 Br4'
_symmetry_space_group_name_H-M 'F -4 3 m'
_symmetry_Int_Tables_number 216
_symmetry_space_group_name_Hall 'F -4 2 3'
_cell_length_a 6.062
_cell_length_b 6.062
_cell_length_c 6.062
_cell_angle_alpha 90.00
_cell_angle_beta 90.00
_cell_angle_gamma 90.00
loop_
_atom_site_label
_atom_site_type_symbol
_atom_site_fract_x
_atom_site_fract_y
_atom_site_fract_z
Re1 Re 0.000 0.000 0.000
Tc1 Tc 0.250 0.250 0.750
Br1 Br 0.250 0.250 0.250
```


VASP calculation (PBE-GGA) on a relaxed structure of ReTc3Br.

Summary:
DOS(E_F) in states/eV per cell: 4.7
Uncorrected formation energy in eV per atom: 2.009

Geometry as CIF:
```
data_ReTc3Br
_chemical_formula_sum 'Re1 Tc3 Br1'
_symmetry_space_group_name_H-M 'P m -3 m'
_symmetry_Int_Tables_number 221
_symmetry_space_group_name_Hall '-P 4 2 3'
_cell_length_a 4.476
_cell_length_b 4.476
_cell_length_c 4.476
_cell_angle_alpha 90.00
_cell_angle_beta 90.00
_cell_angle_gamma 90.00
loop_
_atom_site_label
_atom_site_type_symbol
_atom_site_fract_x
_atom_site_fract_y
_atom_site_fract_z
Re1 Re 0.000 0.000 0.000
Tc1 Tc 0.000 0.500 0.500
Br1 Br 0.500 0.500 0.500
```


VASP calculation (PBE-GGA) on a relaxed structure of ReTc2Br.

Summary:
DOS(E_F) in states/eV per cell: 6.5
Uncorrected formation energy in eV per atom: 0.861

Geometry as CIF:
```
data_ReTc2Br
_chemical_formula_sum 'Re2 Tc4 Br2'
_symmetry_space_group_name_H-M 'I m m m'
_symmetry_Int_Tables_number 71
_symmetry_space_group_name_Hall '-I 2 2'
_cell_length_a 2.966
_cell_length_b 4.514
_cell_length_c 9.049
_cell_angle_alpha 90.00
_cell_angle_beta 90.00
_cell_angle_gamma 90.00
loop_
_atom_site_label
_atom_site_type_symbol
_atom_site_fract_x
_atom_site_fract_y
_atom_site_fract_z
Re1 Re 0.000 0.000 0.000
Tc1 Tc 0.000 0.500 0.233
Br1 Br 0.000 0.000 0.500
```


VASP calculation (PBE-GGA) on a relaxed structure of ReTc2Br.

Summary:
DOS(E_F) in states/eV per cell: 4.2
Uncorrected formation energy in eV per atom: 0.903

Geometry as CIF:
```
data_ReTc2Br
_chemical_formula_sum 'Re1 Tc2 Br1'
_symmetry_space_group_name_H-M 'P 4/m m m'
_symmetry_Int_Tables_number 123
_symmetry_space_group_name_Hall '-P 4 2'
_cell_length_a 4.587
_cell_length_b 4.587
_cell_length_c 2.949
_cell_angle_alpha 90.00
_cell_angle_beta 90.00
_cell_angle_gamma 90.00
loop_
_atom_site_label
_atom_site_type_symbol
_atom_site_fract_x
_atom_site_fract_y
_atom_site_fract_z
Re1 Re 0.000 0.000 0.000
Tc1 Tc 0.000 0.500 0.500
Br1 Br 0.500 0.500 0.000
```


VASP calculation (PBE-GGA) on a relaxed structure of ReTc3Br.

Summary:
DOS(E_F) in states/eV per cell: 6.6
Uncorrected formation energy in eV per atom: 1.857

Geometry as CIF:
```
data_ReTc3Br
_chemical_formula_sum 'Re1 Tc3 Br1'
_symmetry_space_group_name_H-M 'P m -3 m'
_symmetry_Int_Tables_number 221
_symmetry_space_group_name_Hall '-P 4 2 3'
_cell_length_a 4.801
_cell_length_b 4.801
_cell_length_c 4.801
_cell_angle_alpha 90.00
_cell_angle_beta 90.00
_cell_angle_gamma 90.00
loop_
_atom_site_label
_atom_site_type_symbol
_atom_site_fract_x
_atom_site_fract_y
_atom_site_fract_z
Re1 Re 0.000 0.000 0.000
Tc1 Tc 0.000 0.000 0.500
Br1 Br 0.500 0.500 0.500
```


VASP calculation (PBE-GGA) on a relaxed structure of ReTcTeBr2.

Summary:
DOS(E_F) in states/eV per cell: 5.0
Uncorrected formation energy in eV per atom: 1.268

Geometry as CIF:
```
data_ReTcTeBr2
_chemical_formula_sum 'Re1 Tc1 Te1 Br2'
_symmetry_space_group_name_H-M 'P 4/m m m'
_symmetry_Int_Tables_number 123
_symmetry_space_group_name_Hall '-P 4 2'
_cell_length_a 4.975
_cell_length_b 4.975
_cell_length_c 5.620
_cell_angle_alpha 90.00
_cell_angle_beta 90.00
_cell_angle_gamma 90.00
loop_
_atom_site_label
_atom_site_type_symbol
_atom_site_fract_x
_atom_site_fract_y
_atom_site_fract_z
Re1 Re 0.000 0.000 0.000
Tc1 Tc 0.500 0.500 0.500
Te1 Te 0.000 0.000 0.500
Br1 Br 0.000 0.500 0.000
```